First-principles (PBEsol) data for a relaxed MgO crystal, as listed in the Alexandria database.

abc: 3.311 3.311 4.998
angles: 90.00 90.00 120.00
Positions (direct):
Mg: 0.333 0.667 0.003
Mg: 0.667 0.333 0.503
O: 0.333 0.667 0.603
O: 0.667 0.333 0.103

## Properties
The density of states at the Fermi level is 0.00 states/eV per atom. Its symmetry is No. 186. The calculation puts the raw total energy at -6.111 eV/atom. The value obtained for the total magnetization is 0.00 Bohr magnetons per cell.